A plane-wave DFT calculation with PBE was carried out for a relaxed structure of Sr4Ti3HgO12.

Calculated values
- Volume: 261.2 Å³/cell
- Calculated total energy: -7.051 eV/atom

a b c (Å): 6.975 6.975 6.975
angles (deg): 109.47 109.47 109.47
Sites, in units of the cell vectors:
Sr 0.000 0.000 0.500
Sr 0.000 0.500 0.000
Sr 0.500 0.000 0.000
Sr 0.500 0.500 0.500
Ti 0.000 0.500 0.500
Ti 0.500 0.000 0.500
Ti 0.500 0.500 0.000
Hg 0.000 0.000 0.000
O 0.000 0.265 0.265
O 0.000 0.735 0.735
O 0.250 0.500 0.750
O 0.250 0.750 0.500
O 0.265 0.000 0.265
O 0.265 0.265 0.000
O 0.500 0.250 0.750
O 0.500 0.750 0.250
O 0.735 0.000 0.735
O 0.735 0.735 0.000
O 0.750 0.250 0.500
O 0.750 0.500 0.250


A plane-wave DFT calculation with PBE was carried out for a relaxed structure of RbTl2SnBr6.

Calculated values
- Volume: 788.4 Å³/cell
- Calculated total energy: -2.920 eV/atom

a b c (Å): 7.778 8.869 13.446
angles (deg): 90.00 121.79 90.00
Sites, in units of the cell vectors:
Rb 0.000 0.000 0.000
Rb 0.000 0.500 0.500
Tl 0.201 0.063 0.725
Tl 0.201 0.437 0.225
Tl 0.799 0.563 0.775
Tl 0.799 0.937 0.275
Sn 0.500 0.000 0.500
Sn 0.500 0.500 0.000
Br 0.162 0.161 0.468
Br 0.162 0.339 0.968
Br 0.252 0.741 0.403
Br 0.252 0.759 0.903
Br 0.411 0.090 0.276
Br 0.411 0.410 0.776
Br 0.589 0.590 0.224
Br 0.589 0.910 0.724
Br 0.748 0.241 0.097
Br 0.748 0.259 0.597
Br 0.838 0.661 0.032
Br 0.838 0.839 0.532


A plane-wave DFT calculation with PBE was carried out for a relaxed structure of K3MnSe4.

Calculated values
- Volume: 1008.2 Å³/cell
- Calculated total energy: -4.167 eV/atom

a b c (Å): 9.535 10.889 9.710
angles (deg): 90.00 90.00 90.00
Sites, in units of the cell vectors:
K 0.053 0.046 0.199
K 0.053 0.454 0.199
K 0.140 0.750 0.416
K 0.360 0.250 0.916
K 0.447 0.546 0.699
K 0.447 0.954 0.699
K 0.553 0.046 0.301
K 0.553 0.454 0.301
K 0.640 0.750 0.084
K 0.860 0.250 0.584
K 0.947 0.546 0.801
K 0.947 0.954 0.801
Mn 0.223 0.750 0.982
Mn 0.277 0.250 0.482
Mn 0.723 0.750 0.518
Mn 0.777 0.250 0.018
Se 0.008 0.750 0.083
Se 0.160 0.078 0.541
Se 0.160 0.422 0.541
Se 0.196 0.750 0.751
Se 0.304 0.250 0.251
Se 0.340 0.578 0.041
Se 0.340 0.922 0.041
Se 0.492 0.250 0.583
Se 0.508 0.750 0.417
Se 0.660 0.078 0.959
Se 0.660 0.422 0.959
Se 0.696 0.750 0.749
Se 0.804 0.250 0.249
Se 0.840 0.578 0.459
Se 0.840 0.922 0.459
Se 0.992 0.250 0.917


A plane-wave DFT calculation with PBE was carried out for a relaxed structure of LiAgI2Br6.

Calculated values
- Volume: 367.1 Å³/cell
- Calculated total energy: -2.132 eV/atom

a b c (Å): 6.153 7.950 8.616
angles (deg): 104.67 107.60 103.09
Sites, in units of the cell vectors:
Li 0.000 0.000 0.000
Ag 0.001 0.000 0.500
I 0.370 0.767 0.142
I 0.632 0.232 0.859
Br 0.106 0.192 0.324
Br 0.139 0.735 0.369
Br 0.433 0.252 0.093
Br 0.569 0.747 0.908
Br 0.863 0.264 0.632
Br 0.895 0.808 0.677


- What is the volume in the first record?
  261.2 Å³/cell